[1]
VASP calculation (PBE) on crystalline Pu3Ni2Ge3 at its relaxed geometry.

Values from the calculation:
Total magnetization, Bohr magnetons per cell: 31.2
Space-group type: No. 63

Cell: 4.2541 5.5218 14.1639 Å, 90.00 90.00 112.66°
Element x y z (fractional)
Ge: 0.6760 0.3520 0.7500
Ni: 0.2049 0.4098 0.0966
Ge: 0.3749 0.7498 0.9640
Ni: 0.2049 0.4098 0.4034
Pu: 0.6218 0.2435 0.2500
Ge: 0.3240 0.6480 0.2500
Ni: 0.7951 0.5902 0.9034
Pu: 0.9171 0.8341 0.1139
Ni: 0.7951 0.5902 0.5966
Ge: 0.3749 0.7498 0.5360
Pu: 0.0829 0.1659 0.6139
Ge: 0.6251 0.2502 0.0360
Pu: 0.9171 0.8341 0.3861
Pu: 0.0829 0.1659 0.8861
Ge: 0.6251 0.2502 0.4640
Pu: 0.3782 0.7565 0.7500

[2]
VASP calculation (PBE) on crystalline PuNi6Ge2 at its relaxed geometry.

Values from the calculation:
Total magnetization, Bohr magnetons per cell: 4.4
Distance to the lowest polymorph of the same formula, kJ/mol of atoms: 6.2
Space-group type: No. 71

Cell: 2.7556 7.2909 7.2909 Å, 57.41 79.11 79.11°
Element x y z (fractional)
Ni: 0.6758 0.0067 0.6416
Ni: 0.3242 0.3584 0.9933
Ni: 0.5000 0.3367 0.6633
Ni: 0.6758 0.6416 0.0067
Ni: 0.3242 0.9933 0.3584
Ge: 0.1539 0.3461 0.3461
Pu: 0.0000 0.0000 0.0000
Ni: 0.5000 0.6633 0.3367
Ge: 0.8461 0.6539 0.6539

[3]
VASP calculation (PBE) on crystalline PuNi5Ge3 at its relaxed geometry.

Values from the calculation:
Total magnetization, Bohr magnetons per cell: 11.3
Space-group type: No. 63

Cell: 3.7286 6.3514 11.7652 Å, 90.00 90.00 107.07°
Element x y z (fractional)
Ni: 0.4449 0.8897 0.1431
Pu: 0.1582 0.3164 0.2500
Ge: 0.3810 0.7620 0.5488
Ni: 0.1936 0.3871 0.9369
Pu: 0.8418 0.6836 0.7500
Ni: 0.0000 0.0000 0.0000
Ni: 0.5551 0.1103 0.8569
Ni: 0.8064 0.6129 0.4369
Ge: 0.3810 0.7620 0.9512
Ni: 0.5551 0.1103 0.6431
Ni: 0.1936 0.3871 0.5631
Ni: 0.8064 0.6129 0.0631
Ge: 0.6190 0.2380 0.4512
Ge: 0.6190 0.2380 0.0488
Ni: 0.4449 0.8897 0.3569
Ge: 0.1166 0.2331 0.7500
Ni: 0.0000 0.0000 0.5000
Ge: 0.8834 0.7669 0.2500

[4]
VASP calculation (PBE) on crystalline Pu2NiGe3 at its relaxed geometry.

Values from the calculation:
Total magnetization, Bohr magnetons per cell: 10.7
Distance to the lowest polymorph of the same formula, kJ/mol of atoms: 0.0
Space-group type: No. 8

Cell: 4.2216 5.7815 5.6211 Å, 73.61 67.94 68.59°
Element x y z (fractional)
Ge: 0.1815 0.7431 0.8940
Pu: 0.5476 0.1713 0.7336
Ni: 0.1620 0.4074 0.2686
Ge: 0.8815 0.5791 0.6580
Pu: 0.4338 0.8324 0.2999
Ge: 0.7937 0.2667 0.1458

| no. | formation energy (eV per atom) |
| --- | --- |
| 1 | -0.469 |
| 2 | -0.024 |
| 3 | -0.391 |
| 4 | -0.429 |